<one>
First-principles (GGA-PBE) data for a relaxed Ba2ZnSi crystal, as listed in Alexandria via LeMat-Bulk.

Its total moment is 0.000 μB per atom. The density of states at the Fermi level comes out at 3.6 states/eV per cell.

It has space group Pmm2 (No. 25), with a = 4.187 Å, b = 5.407 Å, c = 6.854 Å, α = 90.00°, β = 90.00° and γ = 90.00°. The inequivalent atoms are Ba at (0.000, 0.000, 0.000), Ba at (0.500, 0.500, 0.459), Zn at (0.500, 0.500, 0.946) and Si at (0.000, 0.000, 0.515).

=====

<two>
First-principles (GGA-PBE) data for a relaxed Ba2ZnSi crystal, as listed in Alexandria via LeMat-Bulk.

Its total moment is 0.001 μB per atom. The density of states at the Fermi level comes out at 6.5 states/eV per cell.

It has space group Cm (No. 8), with a = 12.253 Å, b = 4.190 Å, c = 5.389 Å, α = 90.00°, β = 116.07° and γ = 90.00°. The inequivalent atoms are Ba at (0.000, 0.000, 0.000), Ba at (0.198, 0.000, 0.698), Zn at (0.401, 0.000, 0.402) and Si at (0.277, 0.500, 0.278).

=====

Which structure wins on stability? <two> wins.

=====

<one>
First-principles (GGA-PBE) data for a relaxed Ba2ZnSi crystal, as listed in Alexandria via LeMat-Bulk.

Its total moment is 0.000 μB per atom. The density of states at the Fermi level comes out at 0.1 states/eV per cell.

It has space group Fm-3m (No. 225), with a = 8.106 Å, b = 8.106 Å, c = 8.106 Å, α = 90.00°, β = 90.00° and γ = 90.00°. The inequivalent atoms are Ba at (0.250, 0.250, 0.250), Zn at (0.000, 0.000, 0.000) and Si at (0.000, 0.000, 0.500).

=====

<two>
First-principles (GGA-PBE) data for a relaxed Ba2ZnSi crystal, as listed in Alexandria via LeMat-Bulk.

Its total moment is 0.000 μB per atom. The density of states at the Fermi level comes out at 6.8 states/eV per cell.

It has space group I-42d (No. 122), with a = 6.208 Å, b = 6.208 Å, c = 19.082 Å, α = 90.00°, β = 90.00° and γ = 90.00°. The inequivalent atoms are Ba at (0.233, 0.250, 0.125), Zn at (0.000, 0.000, 0.500) and Si at (0.000, 0.000, 0.000).

=====

<three>
First-principles (GGA-PBE) data for a relaxed Ba2ZnSi crystal, as listed in Alexandria via LeMat-Bulk.

Its total moment is 0.000 μB per atom. The density of states at the Fermi level comes out at 5.0 states/eV per cell.

It has space group Cmmm (No. 65), with a = 8.146 Å, b = 8.154 Å, c = 4.045 Å, α = 90.00°, β = 90.00° and γ = 90.00°. The inequivalent atoms are Ba at (0.250, 0.250, 0.000), Zn at (0.000, 0.000, 0.500) and Si at (0.000, 0.500, 0.500).

=====

Which structure wins on stability? <one> wins.

=====

<one>
First-principles (GGA-PBE) data for a relaxed BaZn3Si crystal, as listed in Alexandria via LeMat-Bulk.

Its total moment is 0.469 μB per atom. The density of states at the Fermi level comes out at 4.2 states/eV per cell.

It has space group Pm-3m (No. 221), with a = 6.192 Å, b = 6.192 Å, c = 6.192 Å, α = 90.00°, β = 90.00° and γ = 90.00°. The inequivalent atoms are Ba at (0.000, 0.000, 0.000), Zn at (0.000, 0.000, 0.500) and Si at (0.500, 0.500, 0.500).

=====

<two>
First-principles (GGA-PBE) data for a relaxed BaZn3Si crystal, as listed in Alexandria via LeMat-Bulk.

Its total moment is 0.000 μB per atom. The density of states at the Fermi level comes out at 4.1 states/eV per cell.

It has space group Pm-3m (No. 221), with a = 4.993 Å, b = 4.993 Å, c = 4.993 Å, α = 90.00°, β = 90.00° and γ = 90.00°. The inequivalent atoms are Ba at (0.000, 0.000, 0.000), Zn at (0.000, 0.500, 0.500) and Si at (0.500, 0.500, 0.500).

=====

Which structure wins on stability? <two> wins.

=====

<one>
First-principles (GGA-PBE) data for a relaxed BaZr3Si crystal, as listed in Alexandria via LeMat-Bulk.

Its total moment is 0.000 μB per atom. The density of states at the Fermi level comes out at 7.1 states/eV per cell.

It has space group Pm-3m (No. 221), with a = 5.202 Å, b = 5.202 Å, c = 5.202 Å, α = 90.00°, β = 90.00° and γ = 90.00°. The inequivalent atoms are Ba at (0.000, 0.000, 0.000), Zr at (0.000, 0.500, 0.500) and Si at (0.500, 0.500, 0.500).

=====

<two>
First-principles (GGA-PBE) data for a relaxed BaZr3Si crystal, as listed in Alexandria via LeMat-Bulk.

Its total moment is 0.000 μB per atom. The density of states at the Fermi level comes out at 9.7 states/eV per cell.

It has space group Pm-3m (No. 221), with a = 5.236 Å, b = 5.236 Å, c = 5.236 Å, α = 90.00°, β = 90.00° and γ = 90.00°. The inequivalent atoms are Ba at (0.000, 0.000, 0.000), Zr at (0.000, 0.000, 0.500) and Si at (0.500, 0.500, 0.500).

=====

Which structure wins on stability? <one> wins.

=====

<one>
First-principles (GGA-PBE) data for a relaxed BaSm3 crystal, as listed in Alexandria via LeMat-Bulk.

Its total moment is 0.000 μB per atom. The density of states at the Fermi level comes out at 6.5 states/eV per cell.

It has space group Pmm2 (No. 25), with a = 3.760 Å, b = 6.017 Å, c = 6.767 Å, α = 90.00°, β = 90.00° and γ = 90.00°. The inequivalent atoms are Ba at (0.000, 0.000, 0.000), Sm at (0.000, 0.500, 0.659), Sm at (0.500, 0.000, 0.495) and Sm at (0.500, 0.500, 0.200).

=====

<two>
First-principles (GGA-PBE) data for a relaxed BaSm3 crystal, as listed in Alexandria via LeMat-Bulk.

Its total moment is 0.000 μB per atom. The density of states at the Fermi level comes out at 7.5 states/eV per cell.

It has space group Pm-3m (No. 221), with a = 5.338 Å, b = 5.338 Å, c = 5.338 Å, α = 90.00°, β = 90.00° and γ = 90.00°. The inequivalent atoms are Ba at (0.000, 0.000, 0.000) and Sm at (0.000, 0.500, 0.500).

=====

Which structure wins on stability? <one> wins.

=====

<one>
First-principles (GGA-PBE) data for a relaxed Ba3Sm crystal, as listed in Alexandria via LeMat-Bulk.

Its total moment is 0.000 μB per atom. The density of states at the Fermi level comes out at 13.4 states/eV per cell.

It has space group I4/mmm (No. 139), with a = 5.934 Å, b = 5.934 Å, c = 11.743 Å, α = 90.00°, β = 90.00° and γ = 90.00°. The inequivalent atoms are Ba at (0.000, 0.000, 0.000), Ba at (0.000, 0.500, 0.250) and Sm at (0.000, 0.000, 0.500).

=====

<two>
First-principles (GGA-PBE) data for a relaxed Ba3Sm crystal, as listed in Alexandria via LeMat-Bulk.

Its total moment is 0.001 μB per atom. The density of states at the Fermi level comes out at 6.8 states/eV per cell.

It has space group Pm-3m (No. 221), with a = 5.921 Å, b = 5.921 Å, c = 5.921 Å, α = 90.00°, β = 90.00° and γ = 90.00°. The inequivalent atoms are Ba at (0.000, 0.000, 0.500) and Sm at (0.500, 0.500, 0.500).

=====

<three>
First-principles (GGA-PBE) data for a relaxed Ba3Sm crystal, as listed in Alexandria via LeMat-Bulk.

Its total moment is 0.025 μB per atom. The density of states at the Fermi level comes out at 6.8 states/eV per cell.

It has space group Pmm2 (No. 25), with a = 3.871 Å, b = 4.108 Å, c = 13.213 Å, α = 90.00°, β = 90.00° and γ = 90.00°. The inequivalent atoms are Ba at (0.000, 0.000, 0.000), Ba at (0.000, 0.500, 0.281), Ba at (0.500, 0.500, 0.732) and Sm at (0.500, 0.000, 0.494).

=====

Which structure wins on stability? <one> wins.

=====

<one>
First-principles (GGA-PBE) data for a relaxed BaSrSm crystal, as listed in Alexandria via LeMat-Bulk.

Its total moment is 0.001 μB per atom. The density of states at the Fermi level comes out at 4.9 states/eV per cell.

It has space group P3m1 (No. 156), with a = 4.0318 Å, b = 4.0318 Å, c = 9.9830 Å, α = 90.00°, β = 90.00° and γ = 120.00°. The inequivalent atoms are Ba at (0.0000, 0.0000, 0.0000), Sr at (0.6667, 0.3333, 0.3675) and Sm at (0.3333, 0.6667, 0.6797).

=====

<two>
First-principles (GGA-PBE) data for a relaxed BaSrSm crystal, as listed in Alexandria via LeMat-Bulk.

Its total moment is 0.000 μB per atom. The density of states at the Fermi level comes out at 32.0 states/eV per cell.

It has space group R-3m (No. 166, hexagonal axes), with a = 6.3619 Å, b = 6.3619 Å, c = 25.6536 Å, α = 90.00°, β = 90.00° and γ = 120.00°. The inequivalent atoms are Ba at (0.0000, 0.0000, 0.0757), Sr at (0.0000, 0.0000, 0.3659) and Sm at (0.0000, 0.0000, 0.2099).

=====

<three>
First-principles (GGA-PBE) data for a relaxed BaSrSm crystal, as listed in Alexandria via LeMat-Bulk.

Its total moment is 0.000 μB per atom. The density of states at the Fermi level comes out at 8.7 states/eV per cell.

It has space group P4/nmm (No. 129, origin choice 2), with a = 4.062 Å, b = 4.062 Å, c = 17.664 Å, α = 90.00°, β = 90.00° and γ = 90.00°. The inequivalent atoms are Ba at (0.250, 0.250, 0.098), Sr at (0.250, 0.250, 0.712) and Sm at (0.250, 0.250, 0.441).

=====

Which structure wins on stability? <three> wins.

=====

<one>
First-principles (GGA-PBE) data for a relaxed BaSr2Sm crystal, as listed in Alexandria via LeMat-Bulk.

Its total moment is 0.000 μB per atom. The density of states at the Fermi level comes out at 5.4 states/eV per cell.

It has space group P4/mmm (No. 123), with a = 6.535 Å, b = 6.535 Å, c = 4.531 Å, α = 90.00°, β = 90.00° and γ = 90.00°. The inequivalent atoms are Ba at (0.000, 0.000, 0.000), Sr at (0.000, 0.500, 0.500) and Sm at (0.500, 0.500, 0.000).

=====

<two>
First-principles (GGA-PBE) data for a relaxed BaSr2Sm crystal, as listed in Alexandria via LeMat-Bulk.

Its total moment is 0.013 μB per atom. The density of states at the Fermi level comes out at 22.1 states/eV per cell.

It has space group R3m (No. 160, hexagonal axes), with a = 4.0737 Å, b = 4.0737 Å, c = 40.5985 Å, α = 90.00°, β = 90.00° and γ = 120.00°. The inequivalent atoms are Ba at (0.0000, 0.0000, 0.0000), Sr at (0.0000, 0.0000, 0.5770), Sr at (0.0000, 0.0000, 0.7559) and Sm at (0.0000, 0.0000, 0.1664).

=====

<three>
First-principles (GGA-PBE) data for a relaxed BaSr2Sm crystal, as listed in Alexandria via LeMat-Bulk.

Its total moment is 0.197 μB per atom. The density of states at the Fermi level comes out at 18.2 states/eV per cell.

It has space group R-3m (No. 166, hexagonal axes), with a = 3.9589 Å, b = 3.9589 Å, c = 43.3643 Å, α = 90.00°, β = 90.00° and γ = 120.00°. The inequivalent atoms are Ba at (0.0000, 0.0000, 0.0000), Sr at (0.0000, 0.0000, 0.4168) and Sm at (0.0000, 0.0000, 0.5000).

=====

<four>
First-principles (GGA-PBE) data for a relaxed BaSr2Sm crystal, as listed in Alexandria via LeMat-Bulk.

Its total moment is 0.000 μB per atom. The density of states at the Fermi level comes out at 4.5 states/eV per cell.

It has space group P4/mmm (No. 123), with a = 4.378 Å, b = 4.378 Å, c = 10.362 Å, α = 90.00°, β = 90.00° and γ = 90.00°. The inequivalent atoms are Ba at (0.000, 0.000, 0.000), Sr at (0.500, 0.500, 0.286) and Sm at (0.000, 0.000, 0.500).

=====

Which structure wins on stability? <four> wins.